{
  "formula": "Zr2ReOs",
  "functional": "PBE",
  "state": "relaxed",
  "energy_ev_per_atom": -10.24,
  "space_group": "No. 65",
  "mass_density_kg_m3": 13085,
  "crystal_system": "orthorhombic",
  "ef_ev_per_atom": -0.042,
  "lattice": [[2.923, -0.005, 0.000], [-1.075, 2.719, 0.000], [0.000, 0.000, 8.930]],
  "species": ["Zr", "Zr", "Re", "Os"],
  "frac_coords": [[0.000, 0.000, 0.002], [0.000, 0.000, 0.498], [0.500, 0.500, 0.750], [0.500, 0.500, 0.250]]
}